VASP calculation (PBE) on crystalline RbDy4PuS8 at its relaxed geometry.

Values from the calculation:
* raw formation energy: -1.812 eV per atom
* space-group type: R3m, No. 160
* total energy: -6.578 eV/atom

Cell: 8.331 8.331 8.331 Å, 59.42 59.42 59.42°
Fractional positions:
Rb (0.000, 0.000, 0.000)
Dy (0.113, 0.630, 0.630)
Dy (0.251, 0.251, 0.251)
Dy (0.630, 0.113, 0.630)
Dy (0.630, 0.630, 0.113)
Pu (0.629, 0.629, 0.629)
S (0.379, 0.379, 0.855)
S (0.379, 0.855, 0.379)
S (0.382, 0.382, 0.382)
S (0.435, 0.857, 0.857)
S (0.855, 0.379, 0.379)
S (0.857, 0.435, 0.857)
S (0.857, 0.857, 0.435)
S (0.857, 0.857, 0.857)